VASP calculation (PBE) on crystalline NaLiNpTe3 at its relaxed geometry.

Output
The total energy is -5.040 eV/atom. As for the space group: P2_1/m. The value obtained for the volume is 380.64 Å³ per cell. The value obtained for the uncorrected formation energy is -0.77 eV per atom.

abc: 4.4387 9.0564 9.7452
angles: 103.67 90.00 90.00
Site moments in Bohr magnetons follow the coordinates.
Fractional positions:
Te  0.2500  0.5572  0.8350  -0.15
Te  0.2500  0.1037  0.8712  -0.13
Te  0.7500  0.4428  0.1650  -0.15
Te  0.2500  0.7663  0.4769  -0.11
Te  0.7500  0.8963  0.1288  -0.13
Te  0.7500  0.2337  0.5231  -0.11
Na  0.7500  0.8048  0.7498  0.00
Na  0.2500  0.1952  0.2502  0.00
Np  0.7500  0.3232  0.8394  3.53
Np  0.2500  0.6768  0.1606  3.53
Li  0.7500  0.9168  0.4138  -0.01
Li  0.2500  0.0832  0.5862  -0.01

VASP calculation (PBE) on crystalline RbAlSn2 at its relaxed geometry.

Output
The total energy is -3.236 eV/atom. As for the space group: P4/mmm. The value obtained for the volume is 119.74 Å³ per cell. For the energy of formation from the pure elements, the calculation gives -57 meV/atom.

abc: 3.8086 3.8086 8.2548
angles: 90.00 90.00 90.00
Fractional positions:
Rb  0.5000  0.5000  0.5000
Sn  0.0000  0.0000  0.1769
Sn  0.0000  0.0000  0.8231
Al  0.5000  0.5000  0.0000

VASP calculation (PBE) on crystalline LaHfTa3 at its relaxed geometry.

Output
The total energy is -8.714 eV/atom. As for the space group: Pm-3m. The value obtained for the volume is 128.39 Å³ per cell. For the energy of formation from the pure elements, the calculation gives 1373 meV/atom.

abc: 5.0448 5.0448 5.0448
angles: 90.00 90.00 90.00
Fractional positions:
Ta  0.0000  0.5000  0.0000
Ta  0.0000  0.0000  0.5000
Ta  0.5000  0.0000  0.0000
La  0.5000  0.5000  0.5000
Hf  0.0000  0.0000  0.0000

VASP calculation (PBE) on crystalline YTcPO2 at its relaxed geometry.

Output
The total energy is -6.762 eV/atom. As for the space group: P4/mmm. The value obtained for the volume is 101.28 Å³ per cell. The value obtained for the uncorrected formation energy is -0.33 eV per atom.

abc: 4.1565 4.1565 5.8624
angles: 90.00 90.00 90.00
Site moments in Bohr magnetons follow the coordinates.
Fractional positions:
Y  0.0000  0.0000  0.0000  0.02
O  0.5000  0.0000  0.0000  0.43
O  0.0000  0.5000  0.0000  0.43
Tc  0.5000  0.5000  0.5000  3.54
P  0.0000  0.0000  0.5000  -0.11

VASP calculation (PBE) on crystalline MoOs5 at its relaxed geometry.

Output
The total energy is -11.194 eV/atom. As for the space group: P-62m. The value obtained for the volume is 87.12 Å³ per cell. For the energy of formation from the pure elements, the calculation gives -31 meV/atom.

abc: 4.7948 4.7948 4.3755
angles: 90.00 90.00 120.00
Fractional positions:
Os  0.6667  0.6667  0.5000
Os  0.9951  0.0000  0.0000
Os  0.0000  0.3333  0.5000
Os  0.3333  0.6618  0.0000
Os  0.6716  0.3382  0.0000
Mo  0.3333  0.0000  0.5000

VASP calculation (PBE) on crystalline MgAu at its relaxed geometry.

Output
The total energy is -2.698 eV/atom. As for the space group: I4/m. The value obtained for the volume is 442.17 Å³ per cell. For the energy of formation from the pure elements, the calculation gives -262 meV/atom.

abc: 9.3324 9.3324 5.0769
angles: 90.00 90.00 90.00
Fractional positions:
Au  0.1807  0.6814  0.0000
Au  0.8193  0.3186  0.0000
Au  0.3193  0.8186  0.5000
Au  0.6814  0.8193  0.0000
Au  0.3186  0.1807  0.0000
Au  0.6807  0.1814  0.5000
Au  0.1814  0.3193  0.5000
Au  0.8186  0.6807  0.5000
Mg  0.3867  0.1127  0.5000
Mg  0.6127  0.1133  0.0000
Mg  0.6133  0.8873  0.5000
Mg  0.8873  0.3867  0.5000
Mg  0.1133  0.3873  0.0000
Mg  0.8867  0.6127  0.0000
Mg  0.1127  0.6133  0.5000
Mg  0.3873  0.8867  0.0000

Question: Number 3 is which compound?
Answer: LaHfTa3

Copy entry 1 word for word.
VASP calculation (PBE) on crystalline NaLiNpTe3 at its relaxed geometry.

Output
The total energy is -5.040 eV/atom. As for the space group: P2_1/m. The value obtained for the volume is 380.64 Å³ per cell. The value obtained for the uncorrected formation energy is -0.77 eV per atom.

abc: 4.4387 9.0564 9.7452
angles: 103.67 90.00 90.00
Site moments in Bohr magnetons follow the coordinates.
Fractional positions:
Te  0.2500  0.5572  0.8350  -0.15
Te  0.2500  0.1037  0.8712  -0.13
Te  0.7500  0.4428  0.1650  -0.15
Te  0.2500  0.7663  0.4769  -0.11
Te  0.7500  0.8963  0.1288  -0.13
Te  0.7500  0.2337  0.5231  -0.11
Na  0.7500  0.8048  0.7498  0.00
Na  0.2500  0.1952  0.2502  0.00
Np  0.7500  0.3232  0.8394  3.53
Np  0.2500  0.6768  0.1606  3.53
Li  0.7500  0.9168  0.4138  -0.01
Li  0.2500  0.0832  0.5862  -0.01

Question: What is the formula in the fifth record?
Answer: MoOs5

Question: The highest volume belongs to which entry?
Answer: MgAu